Entry 1:
DFT (PBE) results for a geometry-optimized NbCr2Os structure.

Structure (extended XYZ):
```
4
Lattice="0.0000 3.0298 3.0298 3.0298 0.0000 3.0298 3.0298 3.0298 0.0000" Properties=species:S:1:pos:R:3 pbc="T T T"
Cr 4.5447 4.5447 4.5447
Cr 1.5149 1.5149 1.5149
Os 3.0298 3.0298 3.0298
Nb 0.0000 0.0000 0.0000
```

Summary:
The space group is Fm-3m (225). The excess energy over the best structure of this formula in the dataset is 2 meV per atom. The energy of formation from the pure elements comes out at 0.04 eV/atom.

Entry 2:
DFT (PBE) results for a geometry-optimized RbYPb structure.

Structure (extended XYZ):
```
6
Lattice="8.3938 0.0000 0.0153 2.9796 3.6866 -4.0219 -2.9796 3.6866 4.0219" Properties=species:S:1:pos:R:3 pbc="T T T"
Pb 4.1969 5.5400 0.0077
Pb 4.1969 1.8331 0.0077
Y 6.1639 3.6866 -1.6374
Y 2.2299 3.6866 1.6527
Rb 6.5122 3.6866 2.5472
Rb 1.8816 3.6866 -2.5319
```

Summary:
The space group is C2/m (12). The excess energy over the best structure of this formula in the dataset is 190 meV per atom. The energy of formation from the pure elements comes out at -0.10 eV/atom.

Entry 3:
DFT (PBE) results for a geometry-optimized HoMg2Cd structure.

Structure (extended XYZ):
```
4
Lattice="-3.5515 2.6705 -2.4732 -0.4345 -0.4126 -5.0500 -4.0181 -2.3733 -2.0210" Properties=species:S:1:pos:R:3 pbc="T T T"
Cd 0.0000 0.0000 0.0000
Ho -4.0020 -0.0576 -4.7721
Mg -6.0031 -0.0865 -7.1581
Mg -2.0010 -0.0288 -2.3860
```

Summary:
The space group is Fm-3m (225). The excess energy over the best structure of this formula in the dataset is 77 meV per atom. The energy of formation from the pure elements comes out at -0.11 eV/atom.

Entry 4:
DFT (PBE) results for a geometry-optimized Mg2Tc structure.

Structure (extended XYZ):
```
6
Lattice="-1.7749 7.0807 -3.0433 1.2164 -5.6870 5.3597 4.5901 1.2922 0.3293" Properties=species:S:1:pos:R:3 pbc="T T T"
Tc 4.3122 -3.2379 4.6326
Tc -0.2806 5.9237 -1.9869
Mg 3.3153 1.0171 1.8322
Mg 1.7049 -2.5511 3.5907
Mg 2.3267 5.2369 -0.9450
Mg 0.7163 1.6687 0.8135
```

Summary:
The space group is Cmcm (63). The excess energy over the best structure of this formula in the dataset is 255 meV per atom. The energy of formation from the pure elements comes out at 0.26 eV/atom.

| no. | total moment (Bohr magnetons per cell) | volume (Å³/atom) |
| --- | --- | --- |
| 1 | 0.000 | 13.91 |
| 2 | 0.787 | 41.54 |
| 3 | 0.000 | 23.25 |
| 4 | 0.000 | 17.12 |